First-principles (PBE) data for Ti4SnBi after structural relaxation, as listed in Alexandria.

```
data_Ti4SnBi
_chemical_formula_sum 'Ti16 Sn4 Bi4'
_cell_length_a 3.1350
_cell_length_b 7.6831
_cell_length_c 20.0887
_cell_angle_alpha 90.00
_cell_angle_beta 94.52
_cell_angle_gamma 90.00
_symmetry_space_group_name_H-M 'P 1'
_symmetry_Int_Tables_number 1
loop_
_symmetry_equiv_pos_as_xyz
'x,y,z'
loop_
_atom_site_label
_atom_site_type_symbol
_atom_site_fract_x
_atom_site_fract_y
_atom_site_fract_z
_atom_site_occupancy
Ti1 Ti 0.0167 0.0964 0.2832 1
Ti2 Ti 0.0167 0.4036 0.7832 1
Ti3 Ti 0.0951 0.5465 0.4392 1
Ti4 Ti 0.0951 0.9535 0.9392 1
Ti5 Ti 0.4281 0.7451 0.0485 1
Ti6 Ti 0.4281 0.7549 0.5485 1
Ti7 Ti 0.4637 0.2213 0.6909 1
Ti8 Ti 0.4637 0.2787 0.1909 1
Ti9 Ti 0.5363 0.7213 0.8091 1
Ti10 Ti 0.5363 0.7787 0.3091 1
Ti11 Ti 0.5719 0.2451 0.4515 1
Ti12 Ti 0.5719 0.2549 0.9515 1
Ti13 Ti 0.9049 0.0465 0.0608 1
Ti14 Ti 0.9049 0.4535 0.5608 1
Ti15 Ti 0.9833 0.5964 0.2168 1
Ti16 Ti 0.9833 0.9036 0.7168 1
Sn1 Sn 0.4644 0.5883 0.6760 1
Sn2 Sn 0.4644 0.9117 0.1760 1
Sn3 Sn 0.5356 0.0883 0.8240 1
Sn4 Sn 0.5356 0.4117 0.3240 1
Bi1 Bi 0.0797 0.5773 0.9191 1
Bi2 Bi 0.0797 0.9227 0.4191 1
Bi3 Bi 0.9203 0.0773 0.5809 1
Bi4 Bi 0.9203 0.4227 0.0809 1
```

Summary:
Its energy above the most stable polymorph in this dataset is 0.138 eV per atom. The formation energy comes out at -0.0823 eV per atom. The space group is P2_1/c, No. 14.